Material: HfPaHg2
Method: DFT, GGA-PBE
State: relaxed

Unit cell a=3.1711 b=3.1711 c=8.9528 alpha=90.00 beta=90.00 gamma=90.00
Each line ends with the local moment (μB).
Fractional positions:
Pa  0.5000  0.5000  0.5000  0.55
Hf  0.5000  0.5000  0.0000  -0.08
Hg  0.0000  0.0000  0.7672  0.00
Hg  0.0000  0.0000  0.2328  0.00

Output
Final energy ... -4.992 eV per atom
Relative energy among the computed polymorphs ... 0.000 eV/f.u.


Material: Hf2Pa2Hg
Method: DFT, GGA-PBE
State: relaxed

Unit cell a=3.1977 b=3.1977 c=11.5866 alpha=97.93 beta=97.93 gamma=90.00
Fractional positions:
Hf  0.5933  0.5933  0.1866
Hf  0.4067  0.4067  0.8134
Pa  0.8047  0.8047  0.6094
Pa  0.1953  0.1953  0.3906
Hg  0.0000  0.0000  0.0000

Output
Final energy ... -7.846 eV per atom


Material: HfPaHg
Method: DFT, GGA-PBE
State: relaxed

Unit cell a=3.1258 b=5.1403 c=5.1403 alpha=120.00 beta=90.00 gamma=90.00
Each line ends with the local moment (μB).
Fractional positions:
Pa  0.6666  0.6667  0.3333  0.43
Hf  0.1661  0.0000  0.0000  0.06
Hg  0.1673  0.3333  0.6667  0.00

Output
Final energy ... -6.367 eV per atom
Relative energy among the computed polymorphs ... 0.721 eV/f.u.


Material: HfPa2Hg
Method: DFT, GGA-PBE
State: relaxed

Unit cell a=3.1079 b=3.1079 c=9.7423 alpha=90.00 beta=90.00 gamma=90.00
Fractional positions:
Hf  0.5000  0.5000  0.7418
Pa  0.0000  0.0000  0.9908
Pa  0.5000  0.5000  0.2538
Hg  0.0000  0.0000  0.5136

Output
Final energy ... -7.275 eV per atom
Relative energy among the computed polymorphs ... 0.000 eV/f.u.


Material: HfPaHg
Method: DFT, GGA-PBE
State: relaxed

Unit cell a=3.1244 b=3.1244 c=7.4652 alpha=102.08 beta=102.08 gamma=90.00
Fractional positions:
Pa  0.3289  0.3289  0.6579
Hf  0.6635  0.6635  0.3271
Hg  0.0075  0.0075  0.0150

Output
Final energy ... -6.607 eV per atom
Relative energy among the computed polymorphs ... 0.000 eV/f.u.


Material: Hf2HgPb
Method: DFT, GGA-PBE
State: relaxed

Unit cell a=4.3331 b=4.5188 c=4.5188 alpha=90.00 beta=90.00 gamma=90.00
Fractional positions:
Pb  0.5000  0.5000  0.5000
Hf  0.0000  0.0000  0.5000
Hf  0.0000  0.5000  0.0000
Hg  0.5000  0.0000  0.0000

Output
Final energy ... -5.958 eV per atom
Relative energy among the computed polymorphs ... 0.000 eV/f.u.


Material: Hf3HgPb
Method: DFT, GGA-PBE
State: relaxed

Unit cell a=5.2226 b=5.2226 c=5.2226 alpha=90.00 beta=90.00 gamma=90.00
Fractional positions:
Pb  0.5000  0.5000  0.5000
Hf  0.0000  0.5000  0.0000
Hf  0.0000  0.0000  0.5000
Hf  0.5000  0.0000  0.0000
Hg  0.0000  0.0000  0.0000

Output
Final energy ... -5.850 eV per atom
Relative energy among the computed polymorphs ... 0.000 eV/f.u.


Material: Hf3HgPb
Method: DFT, GGA-PBE
State: relaxed

Unit cell a=5.3071 b=5.3071 c=5.3071 alpha=90.00 beta=90.00 gamma=90.00
Fractional positions:
Pb  0.0000  0.0000  0.0000
Hf  0.0000  0.5000  0.0000
Hf  0.0000  0.0000  0.5000
Hf  0.5000  0.0000  0.0000
Hg  0.5000  0.5000  0.5000

Output
Final energy ... -5.465 eV per atom
Relative energy among the computed polymorphs ... 1.922 eV/f.u.


Material: Hf2HgPb
Method: DFT, GGA-PBE
State: relaxed

Unit cell a=3.1878 b=3.1878 c=8.7736 alpha=90.00 beta=90.00 gamma=90.00
Fractional positions:
Pb  0.5000  0.5000  0.5000
Hf  0.0000  0.0000  0.7624
Hf  0.0000  0.0000  0.2376
Hg  0.5000  0.5000  0.0000

Output
Final energy ... -5.929 eV per atom
Relative energy among the computed polymorphs ... 0.115 eV/f.u.


Material: HfHgPb2
Method: DFT, GGA-PBE
State: relaxed

Unit cell a=3.2847 b=3.2847 c=12.3280 alpha=82.34 beta=82.34 gamma=60.00
Fractional positions:
Pb  0.0829  0.0829  0.7513
Pb  0.9171  0.9171  0.2487
Hf  0.0000  0.0000  0.0000
Hg  0.5000  0.5000  0.5000

Output
Final energy ... -4.073 eV per atom


Material: HfHgPb2
Method: DFT, GGA-PBE
State: relaxed

Unit cell a=4.8035 b=4.8035 c=6.4580 alpha=68.17 beta=68.17 gamma=60.00
Fractional positions:
Hf  0.6702  0.6702  0.9895
Hg  0.4979  0.4979  0.5064
Pb  0.0693  0.0693  0.7920
Pb  0.2626  0.2626  0.2121

Output
Final energy ... -4.097 eV per atom


Material: Hf2HgPb
Method: DFT, GGA-PBE
State: relaxed

Unit cell a=4.5280 b=4.5280 c=6.3368 alpha=69.07 beta=69.07 gamma=60.00
Fractional positions:
Hf  0.0709  0.0709  0.7873
Hf  0.2679  0.2679  0.1964
Hg  0.6676  0.6676  0.9972
Pb  0.4936  0.4936  0.5191

Output
Final energy ... -5.724 eV per atom
Relative energy among the computed polymorphs ... 0.934 eV/f.u.


Material: Hf6HgPb
Method: DFT, GGA-PBE
State: relaxed

Unit cell a=4.4467 b=6.2516 c=6.2516 alpha=90.00 beta=90.00 gamma=90.00
Fractional positions:
Hf  0.5000  0.0000  0.5000
Hf  0.5000  0.5000  0.0000
Hf  0.0000  0.2477  0.2477
Hf  0.0000  0.7523  0.7523
Hf  0.0000  0.7521  0.2479
Hf  0.0000  0.2479  0.7521
Hg  0.5000  0.0000  0.0000
Pb  0.5000  0.5000  0.5000

Output
Final energy ... -8.004 eV per atom


Material: HfHg3Pb
Method: DFT, GGA-PBE
State: relaxed

Unit cell a=5.4914 b=5.4914 c=5.4914 alpha=90.00 beta=90.00 gamma=90.00
Fractional positions:
Pb  0.5000  0.5000  0.5000
Hf  0.0000  0.0000  0.0000
Hg  0.0000  0.5000  0.0000
Hg  0.0000  0.0000  0.5000
Hg  0.5000  0.0000  0.0000

Output
Final energy ... -2.382 eV per atom
Relative energy among the computed polymorphs ... 0.000 eV/f.u.


Material: HfHgPb3
Method: DFT, GGA-PBE
State: relaxed

Unit cell a=5.5904 b=5.5904 c=5.5904 alpha=90.00 beta=90.00 gamma=90.00
Fractional positions:
Pb  0.0000  0.5000  0.0000
Pb  0.0000  0.0000  0.5000
Pb  0.5000  0.0000  0.0000
Hf  0.5000  0.5000  0.5000
Hg  0.0000  0.0000  0.0000

Output
Final energy ... -3.281 eV per atom
Relative energy among the computed polymorphs ... 3.292 eV/f.u.


Material: Hf2HgPb
Method: DFT, GGA-PBE
State: relaxed

Unit cell a=5.0243 b=5.0243 c=5.0243 alpha=60.00 beta=60.00 gamma=60.00
Fractional positions:
Pb  0.5000  0.5000  0.5000
Hf  0.2500  0.2500  0.2500
Hf  0.7500  0.7500  0.7500
Hg  0.0000  0.0000  0.0000

Output
Final energy ... -5.821 eV per atom
Relative energy among the computed polymorphs ... 0.549 eV/f.u.


Material: HfHgPb2
Method: DFT, GGA-PBE
State: relaxed

Unit cell a=3.3040 b=5.5423 c=5.5423 alpha=90.00 beta=90.00 gamma=90.00
Fractional positions:
Pb  0.0000  0.0000  0.5000
Pb  0.0000  0.5000  0.0000
Hf  0.5000  0.0000  0.0000
Hg  0.5000  0.5000  0.5000

Output
Final energy ... -4.299 eV per atom


Material: HfHgPb2
Method: DFT, GGA-PBE
State: relaxed

Unit cell a=3.9668 b=3.9668 c=6.5156 alpha=90.00 beta=90.00 gamma=90.00
Fractional positions:
Pb  0.0000  0.0000  0.7632
Pb  0.0000  0.0000  0.2368
Hf  0.5000  0.5000  0.0000
Hg  0.5000  0.5000  0.5000

Output
Final energy ... -4.264 eV per atom


Material: Hf2HgPb
Method: DFT, GGA-PBE
State: relaxed

Unit cell a=3.8638 b=3.8638 c=7.9212 alpha=75.88 beta=75.88 gamma=60.00
Fractional positions:
Pb  0.5000  0.5000  0.5000
Hf  0.2503  0.2503  0.2490
Hf  0.7497  0.7497  0.7510
Hg  0.0000  0.0000  0.0000

Output
Final energy ... -5.700 eV per atom
Relative energy among the computed polymorphs ... 1.032 eV/f.u.


Material: HfHgPb2
Method: DFT, GGA-PBE
State: relaxed

Unit cell a=8.3027 b=8.3027 c=6.6672 alpha=51.49 beta=51.49 gamma=90.00
Fractional positions:
Pb  0.6260  0.1250  0.2500
Pb  0.1240  0.6250  0.2500
Pb  0.3750  0.3740  0.7500
Pb  0.8750  0.8760  0.7500
Hf  0.5000  0.5000  0.0000
Hf  0.2500  0.7500  0.5000
Hg  0.0000  0.0000  0.0000
Hg  0.7500  0.2500  0.5000

Output
Final energy ... -4.009 eV per atom